First-principles (PBE) data for an optimized crystal structure of CdRu3O, as listed in the Alexandria database.

Its total magnetization is 8.3 μB/f.u. The raw formation energy comes out at 2742 meV/atom. As for the density of states at the Fermi level: 7.75 states/eV/f.u. As for the raw total energy: -3.999 eV per atom. For the calculated volume, the calculation gives 24.59 A^3/atom.

The structure belongs to space group Pm-3m (No. 221); the cell edges are 4.973, 4.973 and 4.973 Å and the angles 90.00°, 90.00° and 90.00°. The distinct sites, in fractional coordinates, are Cd at (0.000, 0.000, 0.000), Ru at (0.000, 0.000, 0.500) and O at (0.500, 0.500, 0.500).



First-principles (PBE) data for an optimized crystal structure of Cd2SbRuO6, as listed in the Alexandria database.

Its total magnetization is 0.6 μB/f.u. The raw formation energy comes out at -843 meV/atom. As for the density of states at the Fermi level: 3.60 states/eV/f.u. As for the raw total energy: -5.340 eV per atom. For the calculated volume, the calculation gives 13.23 A^3/atom.

The structure belongs to space group P4mm (No. 99); the cell edges are 5.793, 5.793 and 3.944 Å and the angles 90.00°, 90.00° and 90.00°. The distinct sites, in fractional coordinates, are Cd at (0.000, 0.500, 0.000), Sb at (0.000, 0.000, 0.628), Ru at (0.500, 0.500, 0.618), O at (0.000, 0.000, 0.138), O at (0.247, 0.247, 0.690) and O at (0.500, 0.500, 0.128).



First-principles (PBE) data for an optimized crystal structure of ScCd2RuO6, as listed in the Alexandria database.

Its total magnetization is 3.0 μB/f.u. The raw formation energy comes out at -1581 meV/atom. As for the density of states at the Fermi level: 1.91 states/eV/f.u. As for the raw total energy: -6.299 eV per atom. For the calculated volume, the calculation gives 12.10 A^3/atom.

The structure belongs to space group P2_1/c (No. 14); the cell edges are 5.485, 5.593 and 9.596 Å and the angles 90.00°, 124.71° and 90.00°. The distinct sites, in fractional coordinates, are Sc at (0.000, 0.000, 0.000), Cd at (0.259, 0.044, 0.750), Ru at (0.500, 0.000, 0.500), O at (0.156, 0.043, 0.259), O at (0.258, 0.690, 0.052) and O at (0.371, 0.207, 0.057).



First-principles (PBE) data for an optimized crystal structure of Sc2CdRuO8, as listed in the Alexandria database.

Its total magnetization is 0.0 μB/f.u. The raw formation energy comes out at -1773 meV/atom. As for the density of states at the Fermi level: 1.86 states/eV/f.u. As for the raw total energy: -6.983 eV per atom. For the calculated volume, the calculation gives 12.61 A^3/atom.

The structure belongs to space group Cmmm (No. 65); the cell edges are 6.666, 6.856 and 6.624 Å and the angles 90.00°, 90.00° and 90.00°. The distinct sites, in fractional coordinates, are Sc at (0.000, 0.000, 0.246), Cd at (0.000, 0.500, 0.000), Ru at (0.000, 0.500, 0.500), O at (0.000, 0.308, 0.298), O at (0.186, 0.000, 0.000) and O at (0.211, 0.000, 0.500).



First-principles (PBE) data for an optimized crystal structure of SmCd2RuO6, as listed in the Alexandria database.

Its total magnetization is 3.0 μB/f.u. The raw formation energy comes out at -1543 meV/atom. As for the density of states at the Fermi level: 1.80 states/eV/f.u. As for the raw total energy: -6.101 eV per atom. For the calculated volume, the calculation gives 13.36 A^3/atom.

The structure belongs to space group P2_1/c (No. 14); the cell edges are 5.658, 5.766 and 9.915 Å and the angles 90.00°, 124.31° and 90.00°. The distinct sites, in fractional coordinates, are Sm at (0.000, 0.000, 0.000), Cd at (0.249, 0.041, 0.746), Ru at (0.500, 0.000, 0.500), O at (0.160, 0.071, 0.272), O at (0.261, 0.667, 0.053) and O at (0.411, 0.210, 0.071).



First-principles (PBE) data for an optimized crystal structure of Cd2SnRuO, as listed in the Alexandria database.

Its total magnetization is 3.9 μB/f.u. The raw formation energy comes out at 1271 meV/atom. As for the density of states at the Fermi level: 4.50 states/eV/f.u. As for the raw total energy: -2.742 eV per atom. For the calculated volume, the calculation gives 30.15 A^3/atom.

The structure belongs to space group P4/mmm (No. 123); the cell edges are 5.430, 5.430 and 5.112 Å and the angles 90.00°, 90.00° and 90.00°. The distinct sites, in fractional coordinates, are Cd at (0.000, 0.500, 0.000), Sn at (0.000, 0.000, 0.000), Ru at (0.000, 0.000, 0.500) and O at (0.500, 0.500, 0.500).



First-principles (PBE) data for an optimized crystal structure of Cd2SnRuO6, as listed in the Alexandria database.

Its total magnetization is 2.1 μB/f.u. The raw formation energy comes out at -904 meV/atom. As for the density of states at the Fermi level: 2.43 states/eV/f.u. As for the raw total energy: -5.390 eV per atom. For the calculated volume, the calculation gives 13.54 A^3/atom.

The structure belongs to space group P4mm (No. 99); the cell edges are 5.724, 5.724 and 4.133 Å and the angles 90.00°, 90.00° and 90.00°. The distinct sites, in fractional coordinates, are Cd at (0.000, 0.500, 0.000), Sn at (0.000, 0.000, 0.618), Ru at (0.500, 0.500, 0.616), O at (0.000, 0.000, 0.134), O at (0.256, 0.256, 0.696) and O at (0.500, 0.500, 0.169).



First-principles (PBE) data for an optimized crystal structure of SrCd2RuO5, as listed in the Alexandria database.

Its total magnetization is 0.6 μB/f.u. The raw formation energy comes out at -1296 meV/atom. As for the density of states at the Fermi level: 4.20 states/eV/f.u. As for the raw total energy: -5.472 eV per atom. For the calculated volume, the calculation gives 13.73 A^3/atom.

The structure belongs to space group Immm (No. 71); the cell edges are 3.723, 5.707 and 11.629 Å and the angles 90.00°, 90.00° and 90.00°. The distinct sites, in fractional coordinates, are Sr at (0.000, 0.000, 0.000), Cd at (0.000, 0.500, 0.218), Ru at (0.000, 0.000, 0.500), O at (0.000, 0.245, 0.370) and O at (0.000, 0.500, 0.000).



First-principles (PBE) data for an optimized crystal structure of SrCdRu2O8, as listed in the Alexandria database.

Its total magnetization is 4.0 μB/f.u. The raw formation energy comes out at -1184 meV/atom. As for the density of states at the Fermi level: 0.57 states/eV/f.u. As for the raw total energy: -6.252 eV per atom. For the calculated volume, the calculation gives 17.66 A^3/atom.

The structure belongs to space group C2/m (No. 12); the cell edges are 9.091, 6.054 and 7.705 Å and the angles 90.00°, 91.49° and 90.00°. The distinct sites, in fractional coordinates, are Sr at (0.000, 0.000, 0.000), Cd at (0.000, 0.000, 0.500), Ru at (0.133, 0.500, 0.269), O at (0.023, 0.249, 0.268), O at (0.230, 0.500, 0.071) and O at (0.248, 0.000, 0.546).



First-principles (PBE) data for an optimized crystal structure of TaCd2RuO6, as listed in the Alexandria database.

Its total magnetization is 1.0 μB/f.u. The raw formation energy comes out at -1405 meV/atom. As for the density of states at the Fermi level: 3.87 states/eV/f.u. As for the raw total energy: -6.676 eV per atom. For the calculated volume, the calculation gives 12.67 A^3/atom.

The structure belongs to space group P4mm (No. 99); the cell edges are 5.647, 5.647 and 3.972 Å and the angles 90.00°, 90.00° and 90.00°. The distinct sites, in fractional coordinates, are Ta at (0.000, 0.000, 0.000), Cd at (0.000, 0.500, 0.433), Ru at (0.500, 0.500, 0.011), O at (0.000, 0.000, 0.511), O at (0.248, 0.248, 0.024) and O at (0.500, 0.500, 0.512).



First-principles (PBE) data for an optimized crystal structure of TbCd2RuO6, as listed in the Alexandria database.

Its total magnetization is 3.0 μB/f.u. The raw formation energy comes out at -1580 meV/atom. As for the density of states at the Fermi level: 1.69 states/eV/f.u. As for the raw total energy: -6.128 eV per atom. For the calculated volume, the calculation gives 13.06 A^3/atom.

The structure belongs to space group P2_1/c (No. 14); the cell edges are 5.617, 5.726 and 9.836 Å and the angles 90.00°, 124.37° and 90.00°. The distinct sites, in fractional coordinates, are Tb at (0.000, 0.000, 0.000), Cd at (0.254, 0.043, 0.748), Ru at (0.500, 0.000, 0.500), O at (0.158, 0.062, 0.269), O at (0.262, 0.673, 0.054) and O at (0.400, 0.209, 0.066).



First-principles (PBE) data for an optimized crystal structure of CdTeRuO2, as listed in the Alexandria database.

Its total magnetization is 0.0 μB/f.u. The raw formation energy comes out at 670 meV/atom. As for the density of states at the Fermi level: 5.32 states/eV/f.u. As for the raw total energy: -3.980 eV per atom. For the calculated volume, the calculation gives 18.04 A^3/atom.

The structure belongs to space group P4/mmm (No. 123); the cell edges are 3.980, 3.980 and 5.693 Å and the angles 90.00°, 90.00° and 90.00°. The distinct sites, in fractional coordinates, are Cd at (0.000, 0.000, 0.000), Te at (0.500, 0.500, 0.500), Ru at (0.000, 0.000, 0.500) and O at (0.000, 0.500, 0.000).



First-principles (PBE) data for an optimized crystal structure of TiCdRuO6, as listed in the Alexandria database.

Its total magnetization is 2.0 μB/f.u. The raw formation energy comes out at -1542 meV/atom. As for the density of states at the Fermi level: 4.14 states/eV/f.u. As for the raw total energy: -6.857 eV per atom. For the calculated volume, the calculation gives 12.38 A^3/atom.

The structure belongs to space group P-31c (No. 163); the cell edges are 5.1534, 5.1534 and 9.6897 Å and the angles 90.00°, 90.00° and 120.00°. The distinct sites, in fractional coordinates, are Ti at (0.3333, 0.6667, 0.2500), Cd at (0.0000, 0.0000, 0.0000), Ru at (0.3333, 0.6667, 0.7500) and O at (0.0041, 0.3690, 0.6400).



First-principles (PBE) data for an optimized crystal structure of Ti2CdRuO, as listed in the Alexandria database.

Its total magnetization is 0.0 μB/f.u. The raw formation energy comes out at 1264 meV/atom. As for the density of states at the Fermi level: 8.22 states/eV/f.u. As for the raw total energy: -4.924 eV per atom. For the calculated volume, the calculation gives 19.54 A^3/atom.

The structure belongs to space group P4/mmm (No. 123); the cell edges are 5.067, 5.067 and 3.805 Å and the angles 90.00°, 90.00° and 90.00°. The distinct sites, in fractional coordinates, are Ti at (0.000, 0.500, 0.000), Cd at (0.000, 0.000, 0.000), Ru at (0.500, 0.500, 0.500) and O at (0.000, 0.000, 0.500).



First-principles (PBE) data for an optimized crystal structure of Tl2CdRuO8, as listed in the Alexandria database.

Its total magnetization is 0.0 μB/f.u. The raw formation energy comes out at -555 meV/atom. As for the density of states at the Fermi level: 1.02 states/eV/f.u. As for the raw total energy: -5.104 eV per atom. For the calculated volume, the calculation gives 14.22 A^3/atom.

The structure belongs to space group P2/m (No. 10); the cell edges are 4.893, 6.843 and 5.107 Å and the angles 90.00°, 93.75° and 90.00°. The distinct sites, in fractional coordinates, are Tl at (0.000, 0.249, 0.000), Cd at (0.500, 0.500, 0.500), Ru at (0.500, 0.000, 0.500), O at (0.231, 0.500, 0.165), O at (0.244, 0.000, 0.186) and O at (0.297, 0.197, 0.647).



First-principles (PBE) data for an optimized crystal structure of Tl2Cd2RuO6, as listed in the Alexandria database.

Its total magnetization is 1.5 μB/f.u. The raw formation energy comes out at -801 meV/atom. As for the density of states at the Fermi level: 4.31 states/eV/f.u. As for the raw total energy: -4.945 eV per atom. For the calculated volume, the calculation gives 16.23 A^3/atom.

The structure belongs to space group C2/m (No. 12); the cell edges are 5.834, 9.948 and 6.358 Å and the angles 90.00°, 104.70° and 90.00°. The distinct sites, in fractional coordinates, are Tl at (0.000, 0.168, 0.000), Cd at (0.000, 0.338, 0.500), Ru at (0.000, 0.000, 0.500), O at (0.191, 0.143, 0.673) and O at (0.217, 0.000, 0.304).



First-principles (PBE) data for an optimized crystal structure of Tl3Cd2RuO6, as listed in the Alexandria database.

Its total magnetization is 2.8 μB/f.u. The raw formation energy comes out at -786 meV/atom. As for the density of states at the Fermi level: 3.22 states/eV/f.u. As for the raw total energy: -4.782 eV per atom. For the calculated volume, the calculation gives 15.88 A^3/atom.

The structure belongs to space group C2/m (No. 12); the cell edges are 5.885, 10.299 and 6.526 Å and the angles 90.00°, 105.47° and 90.00°. The distinct sites, in fractional coordinates, are Tl at (0.000, 0.000, 0.000), Tl at (0.000, 0.331, 0.000), Cd at (0.000, 0.167, 0.500), Ru at (0.000, 0.500, 0.500), O at (0.204, 0.360, 0.666) and O at (0.213, 0.500, 0.303).



First-principles (PBE) data for an optimized crystal structure of UCd2RuO8, as listed in the Alexandria database.

Its total magnetization is 0.3 μB/f.u. The raw formation energy comes out at -1610 meV/atom. As for the density of states at the Fermi level: 4.44 states/eV/f.u. As for the raw total energy: -6.782 eV per atom. For the calculated volume, the calculation gives 13.85 A^3/atom.

The structure belongs to space group Cmmm (No. 65); the cell edges are 7.033, 7.220 and 6.545 Å and the angles 90.00°, 90.00° and 90.00°. The distinct sites, in fractional coordinates, are U at (0.000, 0.000, 0.000), Cd at (0.000, 0.500, 0.257), Ru at (0.000, 0.000, 0.500), O at (0.000, 0.182, 0.263), O at (0.218, 0.500, 0.000) and O at (0.241, 0.500, 0.500).